No. 1
The following is a PBE-GGA calculation of an optimized crystal structure of Be2GaB, from Alexandria.

Summary:
As for the formation enthalpy at 0 K: 467 meV per atom. The calculated total energy is -30.574 eV for the cell shown.

Cell and atoms, written as CIF:
```
data_Be2GaB
_chemical_formula_sum 'Be4 Ga2 B2'
_cell_length_a 3.786
_cell_length_b 3.786
_cell_length_c 6.932
_cell_angle_alpha 74.15
_cell_angle_beta 74.15
_cell_angle_gamma 90.00
_symmetry_space_group_name_H-M 'P 1'
_symmetry_Int_Tables_number 1
loop_
_symmetry_equiv_pos_as_xyz
'x,y,z'
loop_
_atom_site_label
_atom_site_fract_x
_atom_site_fract_y
_atom_site_fract_z
Ga1 0.750 0.250 0.500
Ga2 0.000 0.000 0.000
Be1 0.875 0.558 0.750
Be2 0.442 0.625 0.250
Be3 0.308 0.125 0.250
Be4 0.375 0.692 0.750
B1 0.500 0.500 0.000
B2 0.250 0.750 0.500
```

=====

No. 2
The following is a PBE-GGA calculation of an optimized crystal structure of Pm3HoAl8, from Alexandria.

Summary:
As for the formation enthalpy at 0 K: -498 meV per atom. The calculated total energy is -54.747 eV for the cell shown.

Cell and atoms, written as CIF:
```
data_Pm3HoAl8
_chemical_formula_sum 'Pm3 Ho1 Al8'
_cell_length_a 5.621
_cell_length_b 5.621
_cell_length_c 9.251
_cell_angle_alpha 90.00
_cell_angle_beta 90.00
_cell_angle_gamma 120.00
_symmetry_space_group_name_H-M 'P 1'
_symmetry_Int_Tables_number 1
loop_
_symmetry_equiv_pos_as_xyz
'x,y,z'
loop_
_atom_site_label
_atom_site_fract_x
_atom_site_fract_y
_atom_site_fract_z
Pm1 0.667 0.333 0.433
Pm2 0.667 0.333 0.069
Pm3 0.000 0.000 0.932
Al1 0.676 0.838 0.252
Al2 0.504 0.009 0.747
Al3 0.504 0.496 0.747
Al4 0.162 0.324 0.252
Al5 0.162 0.838 0.252
Al6 0.333 0.667 0.501
Al7 0.333 0.667 0.999
Al8 0.991 0.496 0.747
Ho1 0.000 0.000 0.568
```

=====

No. 3
The following is a PBE-GGA calculation of an optimized crystal structure of TbDy2HoTl2, from Alexandria.

Summary:
As for the formation enthalpy at 0 K: -269 meV per atom. The calculated total energy is -49.520 eV for the cell shown.

Cell and atoms, written as CIF:
```
data_TbDy2HoTl2
_chemical_formula_sum 'Tb2 Dy4 Ho2 Tl4'
_cell_length_a 5.098
_cell_length_b 6.809
_cell_length_c 9.968
_cell_angle_alpha 90.00
_cell_angle_beta 90.00
_cell_angle_gamma 90.00
_symmetry_space_group_name_H-M 'P 1'
_symmetry_Int_Tables_number 1
loop_
_symmetry_equiv_pos_as_xyz
'x,y,z'
loop_
_atom_site_label
_atom_site_fract_x
_atom_site_fract_y
_atom_site_fract_z
Dy1 0.500 0.053 0.042
Dy2 0.500 0.553 0.958
Dy3 0.000 0.834 0.814
Dy4 0.000 0.334 0.186
Tl1 0.000 0.799 0.135
Tl2 0.500 0.717 0.633
Tl3 0.000 0.299 0.865
Tl4 0.500 0.217 0.367
Ho1 0.500 0.181 0.688
Ho2 0.500 0.681 0.312
Tb1 0.000 0.462 0.542
Tb2 0.000 0.962 0.458
```

=====

No. 4
The following is a PBE-GGA calculation of an optimized crystal structure of NaCa2Tb, from Alexandria.

Summary:
As for the formation enthalpy at 0 K: 168 meV per atom. The calculated total energy is -9.281 eV for the cell shown.

Cell and atoms, written as CIF:
```
data_NaCa2Tb
_chemical_formula_sum 'Na1 Ca2 Tb1'
_cell_length_a 3.924
_cell_length_b 6.142
_cell_length_c 6.142
_cell_angle_alpha 90.00
_cell_angle_beta 90.00
_cell_angle_gamma 90.00
_symmetry_space_group_name_H-M 'P 1'
_symmetry_Int_Tables_number 1
loop_
_symmetry_equiv_pos_as_xyz
'x,y,z'
loop_
_atom_site_label
_atom_site_fract_x
_atom_site_fract_y
_atom_site_fract_z
Ca1 0.000 0.000 0.500
Ca2 0.000 0.500 0.000
Na1 0.500 0.000 0.000
Tb1 0.500 0.500 0.500
```

=====

No. 5
The following is a PBE-GGA calculation of an optimized crystal structure of SrPr2Tl, from Alexandria.

Summary:
As for the formation enthalpy at 0 K: 53 meV per atom. The calculated total energy is -13.394 eV for the cell shown.

Cell and atoms, written as CIF:
```
data_SrPr2Tl
_chemical_formula_sum 'Sr1 Pr2 Tl1'
_cell_length_a 5.495
_cell_length_b 5.495
_cell_length_c 6.829
_cell_angle_alpha 66.28
_cell_angle_beta 66.28
_cell_angle_gamma 60.00
_symmetry_space_group_name_H-M 'P 1'
_symmetry_Int_Tables_number 1
loop_
_symmetry_equiv_pos_as_xyz
'x,y,z'
loop_
_atom_site_label
_atom_site_fract_x
_atom_site_fract_y
_atom_site_fract_z
Sr1 0.490 0.490 0.529
Pr1 0.276 0.276 0.171
Pr2 0.043 0.043 0.870
Tl1 0.690 0.690 0.931
```

=====

No. 6
The following is a PBE-GGA calculation of an optimized crystal structure of MgTaOs2, from Alexandria.

Summary:
As for the formation enthalpy at 0 K: 125 meV per atom. The calculated total energy is -35.408 eV for the cell shown.

Cell and atoms, written as CIF:
```
data_MgTaOs2
_chemical_formula_sum 'Mg1 Ta1 Os2'
_cell_length_a 2.804
_cell_length_b 4.184
_cell_length_c 5.377
_cell_angle_alpha 90.00
_cell_angle_beta 90.00
_cell_angle_gamma 90.00
_symmetry_space_group_name_H-M 'P 1'
_symmetry_Int_Tables_number 1
loop_
_symmetry_equiv_pos_as_xyz
'x,y,z'
loop_
_atom_site_label
_atom_site_fract_x
_atom_site_fract_y
_atom_site_fract_z
Os1 0.500 0.500 0.255
Os2 0.000 0.000 0.988
Mg1 0.500 0.500 0.767
Ta1 0.000 0.000 0.491
```

=====

No. 7
The following is a PBE-GGA calculation of an optimized crystal structure of ZrZn, from Alexandria.

Summary:
As for the formation enthalpy at 0 K: -92 meV per atom. The calculated total energy is -30.016 eV for the cell shown.

Cell and atoms, written as CIF:
```
data_ZrZn
_chemical_formula_sum 'Zr3 Zn3'
_cell_length_a 5.435
_cell_length_b 5.435
_cell_length_c 7.653
_cell_angle_alpha 69.15
_cell_angle_beta 69.15
_cell_angle_gamma 33.24
_symmetry_space_group_name_H-M 'P 1'
_symmetry_Int_Tables_number 1
loop_
_symmetry_equiv_pos_as_xyz
'x,y,z'
loop_
_atom_site_label
_atom_site_fract_x
_atom_site_fract_y
_atom_site_fract_z
Zn1 0.992 0.992 0.083
Zn2 0.285 0.285 0.362
Zn3 0.639 0.639 0.221
Zr1 0.955 0.955 0.533
Zr2 0.323 0.323 0.911
Zr3 0.639 0.639 0.723
```

=====

No. 8
The following is a PBE-GGA calculation of an optimized crystal structure of CePuMnRu, from Alexandria.

Summary:
As for the formation enthalpy at 0 K: -31 meV per atom. The calculated total energy is -38.836 eV for the cell shown.

Cell and atoms, written as CIF:
```
data_CePuMnRu
_chemical_formula_sum 'Ce1 Pu1 Mn1 Ru1'
_cell_length_a 4.698
_cell_length_b 4.698
_cell_length_c 4.698
_cell_angle_alpha 60.00
_cell_angle_beta 60.00
_cell_angle_gamma 60.00
_symmetry_space_group_name_H-M 'P 1'
_symmetry_Int_Tables_number 1
loop_
_symmetry_equiv_pos_as_xyz
'x,y,z'
loop_
_atom_site_label
_atom_site_fract_x
_atom_site_fract_y
_atom_site_fract_z
Pu1 0.750 0.750 0.750
Ce1 0.500 0.500 0.500
Mn1 0.000 0.000 0.000
Ru1 0.250 0.250 0.250
```

=====

No. 9
The following is a PBE-GGA calculation of an optimized crystal structure of KCuSb2Cl8, from Alexandria.

Summary:
The calculated total energy is -39.930 eV for the cell shown. The uncorrected formation energy is -977 meV per atom.

Cell and atoms, written as CIF:
```
data_KCuSb2Cl8
_chemical_formula_sum 'K1 Cu1 Sb2 Cl8'
_cell_length_a 7.012
_cell_length_b 6.961
_cell_length_c 8.828
_cell_angle_alpha 88.77
_cell_angle_beta 78.29
_cell_angle_gamma 83.94
_symmetry_space_group_name_H-M 'P 1'
_symmetry_Int_Tables_number 1
loop_
_symmetry_equiv_pos_as_xyz
'x,y,z'
loop_
_atom_site_label
_atom_site_fract_x
_atom_site_fract_y
_atom_site_fract_z
Cu1 0.000 0.000 0.000
Sb1 0.492 0.546 0.760
Sb2 0.508 0.454 0.240
Cl1 0.147 0.849 0.797
Cl2 0.392 0.263 0.470
Cl3 0.398 0.258 0.061
Cl4 0.602 0.742 0.939
Cl5 0.853 0.151 0.203
Cl6 0.196 0.659 0.278
Cl7 0.804 0.341 0.722
Cl8 0.608 0.737 0.530
K1 0.000 0.000 0.500
```

=====

No. 10
The following is a PBE-GGA calculation of an optimized crystal structure of La3Ga2SnPd9, from Alexandria.

Summary:
As for the formation enthalpy at 0 K: -642 meV per atom. The calculated total energy is -81.208 eV for the cell shown.

Cell and atoms, written as CIF:
```
data_La3Ga2SnPd9
_chemical_formula_sum 'La3 Ga2 Sn1 Pd9'
_cell_length_a 5.770
_cell_length_b 5.770
_cell_length_c 11.747
_cell_angle_alpha 90.00
_cell_angle_beta 90.00
_cell_angle_gamma 120.00
_symmetry_space_group_name_H-M 'P 1'
_symmetry_Int_Tables_number 1
loop_
_symmetry_equiv_pos_as_xyz
'x,y,z'
loop_
_atom_site_label
_atom_site_fract_x
_atom_site_fract_y
_atom_site_fract_z
Pd1 0.669 0.834 0.321
Pd2 0.166 0.331 0.321
Pd3 0.166 0.834 0.321
Pd4 0.500 0.500 0.000
Pd5 0.834 0.669 0.679
Pd6 0.834 0.166 0.679
Pd7 0.500 0.000 0.000
Pd8 0.000 0.500 0.000
Pd9 0.331 0.166 0.679
Sn1 0.000 0.000 0.500
La1 0.667 0.333 0.261
La2 0.000 0.000 0.000
La3 0.333 0.667 0.739
Ga1 0.667 0.333 0.838
Ga2 0.333 0.667 0.162
```